# Na2Tl3ReS6

A relaxed Na2Tl3ReS6 crystal (PBE, Alexandria via LeMat-Bulk).

Density of states at the Fermi level   4.3 states/eV per cell
Raw formation energy   -10.82 kcal/mol of atoms
Electronic total energy   -4.38 eV per atom
Space-group type   C2/m

Lattice parameters (Å, degrees): 7.0186 7.0186 7.0612 99.78 99.78 120.75
Fractional coordinates of all 12 atoms:
Na  0.3321  0.6679  0.0000
Na  0.6679  0.3321  0.0000
Tl  0.1618  0.8382  0.5000
Tl  0.8382  0.1618  0.5000
Tl  0.5000  0.5000  0.5000
Re  0.0000  0.0000  0.0000
S  0.9230  0.6498  0.7884
S  0.7883  0.7883  0.2095
S  0.0770  0.3502  0.2116
S  0.6498  0.9230  0.7884
S  0.2117  0.2117  0.7905
S  0.3502  0.0770  0.2116

***

# ScTc2Pb

A relaxed ScTc2Pb crystal (PBE, Alexandria via LeMat-Bulk).

E_form   0.49 eV/atom
Excess energy over the best structure of this formula in the dataset   0.507 eV/atom
Density of states at the Fermi level   4.6 states/eV per cell
Electronic total energy   -7.20 eV per atom
Space-group type   R-3m

Lattice parameters (Å, degrees): 8.7894 8.7894 8.7894 20.77 20.77 20.77
Fractional coordinates of all 4 atoms:
Pb  0.2500  0.2500  0.2500
Sc  0.7500  0.7500  0.7500
Tc  0.0010  0.0010  0.0010
Tc  0.4990  0.4990  0.4990